Density functional theory data (GGA-PBE) for a geometry-optimized ScNbTc2Os structure.

formation energy: 1.1892 eV/atom

Unit cell a=4.6960 b=4.7738 c=4.6960 alpha=90.00 beta=90.00 gamma=90.00
Last column: nearest neighbours and their distance in Å.
Fractional positions:
Sc (0.0000, 0.5000, 0.0000)  2 Os 2.39
Nb (0.5000, 0.5000, 0.5000)  4 Sc 3.32, 8 Tc 3.35
Os (0.0000, 0.0000, 0.0000)  4 Tc 2.35, 2 Sc 2.39
Tc (0.0000, 0.0000, 0.5000)  2 Os 2.35
Tc (0.5000, 0.0000, 0.0000)  2 Os 2.35



Density functional theory data (GGA-PBE) for a geometry-optimized ZrTiAlCd structure.

polymorph energy (0 for the lowest one): 0.00 kJ/mol of atoms
formation energy: -0.2419 eV/atom

Unit cell a=2.9398 b=2.9398 c=8.7869 alpha=90.00 beta=90.00 gamma=90.00
Last column: nearest neighbours and their distance in Å.
Fractional positions:
Zr (0.5000, 0.5000, 0.7973)  4 Zr 2.94, 4 Al 2.95, 4 Cd 3.26
Ti (0.5000, 0.5000, 0.3459)  4 Al 2.80, 4 Ti 2.94, 4 Cd 3.11
Al (0.0000, 0.0000, 0.5588)  4 Ti 2.80, 4 Al 2.94, 4 Zr 2.95
Cd (0.0000, 0.0000, 0.0828)  4 Cd 2.94, 4 Ti 3.11, 4 Zr 3.26



Density functional theory data (GGA-PBE) for a geometry-optimized NiTe2I structure.

energy relative to the elements, uncorrected: 0.123 eV per atom

Unit cell a=7.1179 b=7.1179 c=7.1353 alpha=60.08 beta=60.08 gamma=90.00
Last column: nearest neighbours and their distance in Å.
Fractional positions:
I (0.0000, 0.0000, 0.0000)  4 Te 3.31
I (0.7500, 0.2500, 0.5000)  4 Te 3.31
Ni (0.5000, 0.5000, 0.0000)  4 Te 2.43
Ni (0.2500, 0.7500, 0.5000)  4 Te 2.43
Te (0.5257, 0.1250, 0.2500)  2 Ni 2.43
Te (0.2243, 0.6250, 0.2500)  2 Ni 2.43
Te (0.3750, 0.4743, 0.7500)  2 Ni 2.43
Te (0.8750, 0.7757, 0.7500)  2 Ni 2.43



Density functional theory data (GGA-PBE) for a geometry-optimized Ca4In2H structure.

polymorph energy (0 for the lowest one): 3.41 kJ/mol of atoms

Unit cell a=4.6327 b=4.6327 c=9.8088 alpha=76.34 beta=76.34 gamma=90.00
Last column: nearest neighbours and their distance in Å.
Fractional positions:
H (0.0000, 0.0000, 0.0000)  4 Ca 2.32
Ca (0.8153, 0.8153, 0.3694)  5 In 3.36-3.41, 1 H 3.42
Ca (0.1847, 0.1847, 0.6306)  5 In 3.36-3.41, 1 H 3.42
Ca (0.0000, 0.5000, 0.0000)  2 H 2.32
Ca (0.5000, 0.0000, 0.0000)  2 H 2.32
In (0.6334, 0.6334, 0.7331)  9 Ca 3.36-3.41
In (0.3666, 0.3666, 0.2669)  9 Ca 3.36-3.41



Density functional theory data (GGA-PBE) for a geometry-optimized Be2Se structure.

energy relative to the elements, uncorrected: -0.190 eV per atom
polymorph energy (0 for the lowest one): 9.66 kJ/mol of atoms

Unit cell a=3.5145 b=3.5160 c=8.5817 alpha=95.47 beta=94.45 gamma=101.38
Last column: nearest neighbours and their distance in Å.
Fractional positions:
Be (0.1380, 0.6773, 0.6122)  4 Be 2.20-2.24, 2 Se 2.22-2.27
Be (0.8620, 0.3227, 0.3878)  4 Be 2.20-2.24, 2 Se 2.22-2.27
Be (0.3285, 0.8557, 0.3876)  4 Be 2.20-2.24, 2 Se 2.22-2.27
Be (0.6715, 0.1443, 0.6124)  4 Be 2.20-2.24, 2 Se 2.22-2.27
Se (0.3186, 0.3067, 0.2240)  4 Be 2.22-2.27
Se (0.6814, 0.6933, 0.7760)  4 Be 2.22-2.27



Density functional theory data (GGA-PBE) for a geometry-optimized TbErAlAu structure.

polymorph energy (0 for the lowest one): 5.11 kJ/mol of atoms
formation energy: -0.5693 eV/atom

Unit cell a=5.1206 b=5.1206 c=5.1206 alpha=60.00 beta=60.00 gamma=60.00
Last column: nearest neighbours and their distance in Å.
Fractional positions:
Tb (0.0000, 0.0000, 0.0000)  4 Al 3.14, 4 Au 3.14
Au (0.2500, 0.2500, 0.2500)  4 Tb 3.14, 4 Er 3.14
Al (0.7500, 0.7500, 0.7500)  4 Er 3.14, 4 Tb 3.14
Er (0.5000, 0.5000, 0.5000)  4 Al 3.14, 4 Au 3.14



Density functional theory data (GGA-PBE) for a geometry-optimized Li2Mg3Cd structure.

polymorph energy (0 for the lowest one): 17.83 kJ/mol of atoms
formation energy: 0.1263 eV/atom

Unit cell a=3.0854 b=5.4749 c=8.9015 alpha=107.91 beta=99.98 gamma=90.00
Last column: nearest neighbours and their distance in Å.
Fractional positions:
Li (0.6524, 0.6524, 0.3049)  3 Mg 2.83-2.97, 2 Li 3.09
Li (0.3476, 0.3476, 0.6951)  3 Mg 2.83-2.97, 2 Li 3.09
Mg (0.0000, 0.5000, 0.0000)  2 Cd 2.74, 4 Li 2.97
Mg (0.8223, 0.8223, 0.6447)  1 Li 2.83, 1 Cd 2.96, 2 Mg 3.09
Mg (0.1777, 0.1777, 0.3553)  1 Li 2.83, 1 Cd 2.96, 2 Mg 3.09
Cd (0.0000, 0.0000, 0.0000)  4 Mg 2.74-2.96



Density functional theory data (GGA-PBE) for a geometry-optimized InGaAs3 structure.

polymorph energy (0 for the lowest one): 28.03 kJ/mol of atoms
formation energy: 0.8451 eV/atom

Unit cell a=5.2845 b=5.2845 c=5.2845 alpha=90.00 beta=90.00 gamma=90.00
Last column: nearest neighbours and their distance in Å.
Fractional positions:
As (0.0000, 0.5000, 0.0000)  2 In 2.64
As (0.0000, 0.0000, 0.5000)  2 In 2.64
As (0.5000, 0.0000, 0.0000)  2 In 2.64
Ga (0.5000, 0.5000, 0.5000)  12 As 3.74
In (0.0000, 0.0000, 0.0000)  6 As 2.64



Table of DOS(E_F) (states/eV/f.u.), in record order: 4.83; 4.30; 5.57; 5.24; 0.33; 2.70; 2.58; 6.08